Below is a relaxed Sm5Hg2N crystal, with properties calculated at the GGA-PBE level.

The structure in POSCAR format:
```
Sm5Hg2N
1.0
4.870 0.000 0.000
-2.435 8.230 0.000
0.000 0.000 12.483
Sm Hg N
10 4 2
Direct
0.909 0.817 0.892 Sm
0.909 0.817 0.608 Sm
0.299 0.598 0.413 Sm
0.299 0.598 0.087 Sm
0.710 0.419 0.250 Sm
0.290 0.581 0.750 Sm
0.701 0.402 0.587 Sm
0.701 0.402 0.913 Sm
0.091 0.183 0.108 Sm
0.091 0.183 0.392 Sm
0.905 0.809 0.363 Hg
0.905 0.809 0.137 Hg
0.095 0.191 0.637 Hg
0.095 0.191 0.863 Hg
0.811 0.622 0.750 N
0.189 0.378 0.250 N
```

Computed properties:
SG = Cmcm (63)
formation energy without anion corrections = -0.29 eV per atom

Below is a relaxed Sr4Hf3O10 crystal, with properties calculated at the GGA-PBE level.

The structure in POSCAR format:
```
Sr4Hf3O10
1.0
0.038 -3.923 -1.310
-0.381 -1.308 3.905
-14.414 2.917 -2.621
Sr Hf O
4 3 10
Direct
0.570 0.570 0.139 Sr
0.430 0.430 0.861 Sr
0.296 0.296 0.591 Sr
0.704 0.704 0.409 Sr
0.142 0.142 0.285 Hf
0.858 0.858 0.715 Hf
0.000 0.000 0.000 Hf
0.141 0.641 0.282 O
0.071 0.071 0.141 O
0.641 0.141 0.282 O
0.859 0.359 0.718 O
0.359 0.859 0.718 O
0.929 0.929 0.859 O
0.213 0.213 0.426 O
0.787 0.787 0.574 O
0.000 0.500 0.000 O
0.500 0.000 0.000 O
```

Computed properties:
distance to the lowest polymorph of the same formula = 17 meV per atom
SG = I4/mmm (139)
formation energy without anion corrections = -3.29 eV per atom

Below is a relaxed Ag3Hg5O12 crystal, with properties calculated at the GGA-PBE level.

The structure in POSCAR format:
```
Ag3Hg5O12
1.0
-4.341 -10.967 -0.261
8.953 0.869 -7.634
3.857 2.445 10.879
Ag Hg O
12 20 48
Direct
0.750 0.375 0.125 Ag
0.875 0.750 0.125 Ag
0.375 0.750 0.625 Ag
0.250 0.125 0.375 Ag
0.875 0.125 0.250 Ag
0.375 0.625 0.250 Ag
0.625 0.375 0.750 Ag
0.125 0.875 0.750 Ag
0.750 0.875 0.625 Ag
0.625 0.250 0.375 Ag
0.125 0.250 0.875 Ag
0.250 0.625 0.875 Ag
0.125 0.375 0.250 Hg
0.000 0.500 0.000 Hg
0.000 0.000 0.000 Hg
0.375 0.250 0.125 Hg
0.500 0.000 0.500 Hg
0.500 0.500 0.000 Hg
0.125 0.750 0.375 Hg
0.750 0.125 0.875 Hg
0.750 0.625 0.375 Hg
0.375 0.125 0.750 Hg
0.625 0.875 0.250 Hg
0.500 0.500 0.500 Hg
0.500 0.000 0.000 Hg
0.000 0.000 0.500 Hg
0.250 0.375 0.625 Hg
0.250 0.875 0.125 Hg
0.000 0.500 0.500 Hg
0.875 0.250 0.625 Hg
0.625 0.750 0.875 Hg
0.875 0.625 0.750 Hg
0.703 0.168 0.044 O
0.341 0.544 0.377 O
0.956 0.332 0.297 O
0.544 0.203 0.168 O
0.536 0.703 0.659 O
0.956 0.623 0.159 O
0.341 0.797 0.464 O
0.123 0.964 0.168 O
0.623 0.956 0.659 O
0.703 0.536 0.159 O
0.797 0.456 0.332 O
0.841 0.877 0.044 O
0.168 0.703 0.544 O
0.332 0.377 0.036 O
0.036 0.877 0.332 O
0.464 0.168 0.623 O
0.036 0.159 0.203 O
0.456 0.659 0.123 O
0.841 0.964 0.297 O
0.168 0.464 0.123 O
0.332 0.956 0.797 O
0.623 0.668 0.464 O
0.877 0.841 0.544 O
0.797 0.341 0.964 O
0.377 0.332 0.536 O
0.123 0.159 0.456 O
0.203 0.659 0.036 O
0.159 0.036 0.703 O
0.668 0.044 0.203 O
0.832 0.536 0.877 O
0.544 0.341 0.877 O
0.536 0.832 0.377 O
0.964 0.841 0.797 O
0.964 0.123 0.668 O
0.832 0.297 0.456 O
0.159 0.123 0.956 O
0.668 0.623 0.964 O
0.377 0.044 0.341 O
0.297 0.464 0.841 O
0.203 0.544 0.668 O
0.877 0.036 0.832 O
0.659 0.203 0.536 O
0.456 0.797 0.832 O
0.044 0.377 0.841 O
0.464 0.297 0.341 O
0.044 0.668 0.703 O
0.659 0.456 0.623 O
0.297 0.832 0.956 O
```

Computed properties:
SG = Ia-3d (230)
formation energy without anion corrections = 0.27 eV per atom

Below is a relaxed TiGaAs crystal, with properties calculated at the GGA-PBE level.

The structure in POSCAR format:
```
TiGaAs
1.0
2.852 0.000 0.000
0.000 5.374 0.000
0.000 2.687 7.567
As Ga Ti
2 2 2
Direct
0.750 0.726 0.548 As
0.250 0.274 0.452 As
0.250 0.085 0.829 Ga
0.750 0.915 0.171 Ga
0.250 0.579 0.843 Ti
0.750 0.421 0.157 Ti
```

Computed properties:
SG = Cmcm (63)
formation energy = 136 meV/atom

Which calculated volume belongs to each record? In order, 31.3; 14.7; 15.8; 19.3 Å³ per atom.